Run a
DFT (GGA+U) results for crystalline CaCr2F at its relaxed geometry.

Cell: 5.092 5.092 5.092 Å, 60.00 60.00 60.00°
Fractional coordinates of all 4 atoms:
1 Ca 0.000 0.000 0.000
2 Cr 0.250 0.250 0.250
3 Cr 0.750 0.750 0.750
4 F 0.500 0.500 0.500

Properties
Spin magnetization   2.712 μB per atom

---

Run b
DFT (GGA+U) results for crystalline CaCr2F at its relaxed geometry.

Cell: 6.709 6.709 6.709 Å, 120.41 120.41 89.29°
Fractional coordinates of all 8 atoms:
1 Ca 0.375 0.625 0.750
2 Ca 0.625 0.375 0.250
3 Cr 0.000 0.000 0.000
4 Cr 0.000 0.000 0.500
5 Cr 0.000 0.500 0.000
6 Cr 0.500 0.000 0.500
7 F 0.125 0.875 0.250
8 F 0.875 0.125 0.750

Properties
Spin magnetization   2.034 μB per atom

---

Most stable structure - run b; separation to the second - 363 meV/atom.

---

Run a
DFT (GGA+U) results for crystalline CaCrF5 at its relaxed geometry.

Cell: 5.550 10.253 7.645 Å, 90.00 109.87 90.00°
Fractional coordinates of all 28 atoms:
1 Ca 0.029 0.019 0.254
2 Ca 0.029 0.481 0.754
3 Ca 0.971 0.519 0.246
4 Ca 0.971 0.981 0.746
5 Cr 0.394 0.247 0.600
6 Cr 0.394 0.253 0.100
7 Cr 0.606 0.747 0.900
8 Cr 0.606 0.753 0.400
9 F 0.113 0.119 0.556
10 F 0.113 0.381 0.056
11 F 0.146 0.112 0.006
12 F 0.146 0.388 0.506
13 F 0.328 0.636 0.360
14 F 0.328 0.864 0.860
15 F 0.360 0.202 0.341
16 F 0.360 0.298 0.841
17 F 0.375 0.605 0.809
18 F 0.375 0.895 0.309
19 F 0.625 0.105 0.691
20 F 0.625 0.395 0.191
21 F 0.640 0.702 0.159
22 F 0.640 0.798 0.659
23 F 0.672 0.136 0.140
24 F 0.672 0.364 0.640
25 F 0.854 0.612 0.494
26 F 0.854 0.888 0.994
27 F 0.887 0.619 0.944
28 F 0.887 0.881 0.444

Properties
Spin magnetization   0.429 μB per atom

---

Run b
DFT (GGA+U) results for crystalline CaCrF5 at its relaxed geometry.

Cell: 5.635 5.635 5.635 Å, 139.58 107.89 86.07°
Fractional coordinates of all 7 atoms:
1 Ca 0.000 0.000 0.000
2 Cr 0.500 0.500 0.000
3 F 0.205 0.500 0.705
4 F 0.267 0.267 0.000
5 F 0.500 0.000 0.500
6 F 0.733 0.733 0.000
7 F 0.795 0.500 0.295

Properties
Spin magnetization   0.429 μB per atom

---

Most stable structure - run a; separation to the second - 10 meV/atom.

---

Run a
DFT (GGA+U) results for crystalline CaCr3F at its relaxed geometry.

Cell: 4.785 4.785 4.785 Å, 90.00 90.00 90.00°
Fractional coordinates of all 5 atoms:
1 Ca 0.000 0.000 0.000
2 Cr 0.000 0.500 0.500
3 Cr 0.500 0.000 0.500
4 Cr 0.500 0.500 0.000
5 F 0.500 0.500 0.500

Properties
Spin magnetization   2.839 μB per atom

---

Run b
DFT (GGA+U) results for crystalline CaCr3F at its relaxed geometry.

Cell: 5.836 5.836 5.836 Å, 90.00 90.00 90.00°
Fractional coordinates of all 5 atoms:
1 Ca 0.000 0.000 0.000
2 Cr 0.000 0.000 0.500
3 Cr 0.000 0.500 0.000
4 Cr 0.500 0.000 0.000
5 F 0.500 0.500 0.500

Properties
Spin magnetization   3.000 μB per atom

---

Most stable structure - run a; separation to the second - 1231 meV/atom.

---

Run a
DFT (GGA+U) results for crystalline CaCrF4 at its relaxed geometry.

Cell: 6.312 6.312 6.312 Å, 114.06 114.06 100.64°
Fractional coordinates of all 12 atoms:
1 Ca 0.375 0.625 0.750
2 Ca 0.625 0.375 0.250
3 Cr 0.125 0.875 0.250
4 Cr 0.875 0.125 0.750
5 F 0.174 0.215 0.540
6 F 0.174 0.634 0.960
7 F 0.215 0.174 0.040
8 F 0.366 0.826 0.540
9 F 0.634 0.174 0.460
10 F 0.785 0.826 0.960
11 F 0.826 0.366 0.040
12 F 0.826 0.785 0.460

Properties
Spin magnetization   0.667 μB per atom

---

Run b
DFT (GGA+U) results for crystalline CaCrF4 at its relaxed geometry.

Cell: 6.641 6.641 6.641 Å, 131.11 131.11 71.63°
Fractional coordinates of all 12 atoms:
1 Ca 0.250 0.250 0.000
2 Ca 0.750 0.750 0.000
3 Cr 0.000 0.500 0.500
4 Cr 0.500 0.000 0.500
5 F 0.059 0.559 0.877
6 F 0.182 0.059 0.500
7 F 0.318 0.818 0.877
8 F 0.441 0.318 0.500
9 F 0.559 0.682 0.500
10 F 0.682 0.182 0.123
11 F 0.818 0.941 0.500
12 F 0.941 0.441 0.123

Properties
Spin magnetization   0.667 μB per atom

---

Most stable structure - run b; separation to the second - 201 meV/atom.

---

Run a
DFT (GGA+U) results for crystalline CaCr2FeF at its relaxed geometry.

Cell: 5.665 5.665 6.066 Å, 90.00 90.00 90.00°
Fractional coordinates of all 5 atoms:
1 Ca 0.000 0.000 0.000
2 Cr 0.000 0.500 0.000
3 Cr 0.500 0.000 0.000
4 Fe 0.000 0.000 0.500
5 F 0.500 0.500 0.500

Properties
Spin magnetization   1.282 μB per atom

---

Run b
DFT (GGA+U) results for crystalline CaCr2FeF at its relaxed geometry.

Cell: 4.849 4.849 6.195 Å, 90.00 90.00 90.00°
Fractional coordinates of all 5 atoms:
1 Ca 0.000 0.000 0.000
2 Cr 0.000 0.500 0.500
3 Cr 0.500 0.000 0.500
4 Fe 0.000 0.000 0.500
5 F 0.500 0.500 0.000

Properties
Spin magnetization   2.543 μB per atom

---

Most stable structure - run b; separation to the second - 1573 meV/atom.

---

Run a
DFT (GGA+U) results for crystalline CaCrNF2 at its relaxed geometry.

Cell: 4.176 4.176 4.983 Å, 90.00 90.00 90.00°
Fractional coordinates of all 5 atoms:
1 Ca 0.000 0.000 0.000
2 Cr 0.500 0.500 0.500
3 N 0.000 0.000 0.500
4 F 0.000 0.500 0.000
5 F 0.500 0.000 0.000

Properties
Spin magnetization   0.600 μB per atom

---

Run b
DFT (GGA+U) results for crystalline CaCrNF2 at its relaxed geometry.

Cell: 4.085 4.085 3.939 Å, 90.00 90.00 90.00°
Fractional coordinates of all 5 atoms:
1 Ca 0.000 0.000 0.000
2 Cr 0.500 0.500 0.500
3 N 0.500 0.500 0.000
4 F 0.000 0.500 0.500
5 F 0.500 0.000 0.500

Properties
Spin magnetization   0.600 μB per atom

---

Most stable structure - run b; separation to the second - 589 meV/atom.